# NbTlSN2

A PBEsol-optimized structure of NbTlSN2 (meta-GGA SCAN, the Alexandria database).

abc: 4.031 4.031 5.169
angles: 90.00 90.00 90.00
Site moments in Bohr magnetons follow the coordinates.
Positions (direct):
1 Tl 0.500 0.500 0.500  -0.01
2 S 0.000 0.000 0.500  -0.02
3 N 0.000 0.500 0.000  -0.47
4 Nb 0.000 0.000 0.000  0.22
5 N 0.500 0.000 0.000  -0.47

Output
**Distance to the lowest polymorph of the same formula**: 0.0 kJ/mol of atoms

***

# NbSbTeN2

A PBEsol-optimized structure of NbSbTeN2 (meta-GGA SCAN, the Alexandria database).

abc: 4.125 4.125 5.642
angles: 90.00 90.00 90.00
Site moments in Bohr magnetons follow the coordinates.
Positions (direct):
1 Nb 0.000 0.000 0.000  -0.30
2 N 0.500 0.000 0.000  0.43
3 Sb 0.500 0.500 0.500  -0.05
4 Te 0.000 0.000 0.500  0.01
5 N 0.000 0.500 0.000  0.43

***

# NbSe3N

A PBEsol-optimized structure of NbSe3N (meta-GGA SCAN, the Alexandria database).

abc: 4.991 4.991 4.991
angles: 90.00 90.00 90.00
Site moments in Bohr magnetons follow the coordinates.
Positions (direct):
1 Se 0.000 0.500 0.000  0.01
2 Se 0.000 0.000 0.500  0.01
3 Se 0.500 0.000 0.000  0.01
4 Nb 0.000 0.000 0.000  0.08
5 N 0.500 0.500 0.500  1.90

***

# NbSnSe2N

A PBEsol-optimized structure of NbSnSe2N (meta-GGA SCAN, the Alexandria database).

abc: 3.898 5.178 5.178
angles: 90.00 90.00 90.00
Positions (direct):
1 N 0.500 0.000 0.000
2 Se 0.000 0.000 0.500
3 Se 0.000 0.500 0.000
4 Sn 0.500 0.500 0.500
5 Nb 0.000 0.000 0.000

***

# NbTcSe2N

A PBEsol-optimized structure of NbTcSe2N (meta-GGA SCAN, the Alexandria database).

abc: 3.840 5.098 5.098
angles: 90.00 90.00 90.00
Site moments in Bohr magnetons follow the coordinates.
Positions (direct):
1 Nb 0.000 0.000 0.000  0.04
2 Se 0.000 0.500 0.000  0.07
3 Se 0.000 0.000 0.500  0.07
4 N 0.500 0.000 0.000  0.17
5 Tc 0.500 0.500 0.500  4.16

***

# ZrNbSeN2

A PBEsol-optimized structure of ZrNbSeN2 (meta-GGA SCAN, the Alexandria database).

abc: 4.082 4.082 5.195
angles: 90.00 90.00 90.00
Site moments in Bohr magnetons follow the coordinates.
Positions (direct):
1 Nb 0.500 0.500 0.500  2.13
2 N 0.500 0.000 0.000  -0.64
3 Se 0.000 0.000 0.500  -0.07
4 Zr 0.000 0.000 0.000  0.08
5 N 0.000 0.500 0.000  -0.64

***

# Nb2SiN

A PBEsol-optimized structure of Nb2SiN (meta-GGA SCAN, the Alexandria database).

abc: 5.150 5.150 6.379
angles: 113.81 113.81 90.00
Positions (direct):
1 N 0.500 0.500 0.000
2 Si 0.250 0.750 0.500
3 Si 0.000 0.000 0.000
4 Nb 0.793 0.375 0.250
5 Nb 0.457 0.875 0.250
6 Nb 0.125 0.207 0.750
7 Nb 0.625 0.543 0.750
8 N 0.750 0.250 0.500

***

# NbSiWN2

A PBEsol-optimized structure of NbSiWN2 (meta-GGA SCAN, the Alexandria database).

abc: 3.645 3.645 5.004
angles: 90.00 90.00 90.00
Positions (direct):
1 N 0.500 0.000 0.000
2 Si 0.000 0.000 0.000
3 N 0.000 0.500 0.000
4 W 0.500 0.500 0.500
5 Nb 0.000 0.000 0.500

***

# NbZnSnN2

A PBEsol-optimized structure of NbZnSnN2 (meta-GGA SCAN, the Alexandria database).

abc: 4.043 4.043 5.219
angles: 90.00 90.00 90.00
Positions (direct):
1 Nb 0.000 0.000 0.000
2 Zn 0.000 0.000 0.500
3 N 0.500 0.000 0.000
4 N 0.000 0.500 0.000
5 Sn 0.500 0.500 0.500

***

# TaNbN2

A PBEsol-optimized structure of TaNbN2 (meta-GGA SCAN, the Alexandria database).

abc: 3.097 3.097 6.537
angles: 76.30 76.30 60.00
Positions (direct):
1 Ta 0.500 0.500 0.500
2 N 0.108 0.108 0.675
3 Nb 0.000 0.000 0.000
4 N 0.892 0.892 0.325

***

# NbTcW2N

A PBEsol-optimized structure of NbTcW2N (meta-GGA SCAN, the Alexandria database).

abc: 3.801 4.869 4.869
angles: 90.00 90.00 90.00
Site moments in Bohr magnetons follow the coordinates.
Positions (direct):
1 Tc 0.500 0.500 0.500  2.10
2 W 0.000 0.000 0.500  -0.47
3 W 0.000 0.500 0.000  -0.47
4 N 0.500 0.000 0.000  0.12
5 Nb 0.000 0.000 0.000  0.03

***

# NbTeN

A PBEsol-optimized structure of NbTeN (meta-GGA SCAN, the Alexandria database).

abc: 3.542 3.542 8.816
angles: 90.00 90.00 90.00
Positions (direct):
1 N 0.000 0.000 0.000
2 Nb 0.000 0.500 0.875
3 N 0.500 0.500 0.000
4 Nb 0.500 0.000 0.125
5 Te 0.000 0.500 0.323
6 Te 0.500 0.000 0.677

***

# TiNbN2

A PBEsol-optimized structure of TiNbN2 (meta-GGA SCAN, the Alexandria database).

abc: 4.325 4.325 5.285
angles: 114.15 114.15 90.00
Positions (direct):
1 N 0.006 0.506 0.013
2 Nb 0.750 0.250 0.500
3 N 0.244 0.244 0.487
4 Nb 0.500 0.500 0.000
5 N 0.494 0.994 0.987
6 Ti 0.000 0.000 0.000
7 N 0.756 0.756 0.513
8 Ti 0.250 0.750 0.500

***

# TiNbN2

A PBEsol-optimized structure of TiNbN2 (meta-GGA SCAN, the Alexandria database).

abc: 3.036 3.036 5.321
angles: 73.42 73.42 60.00
Positions (direct):
1 Ti 0.500 0.500 0.500
2 Nb 0.000 0.000 0.000
3 N 0.244 0.244 0.268
4 N 0.756 0.756 0.732

***

# TiNb2N

A PBEsol-optimized structure of TiNb2N (meta-GGA SCAN, the Alexandria database).

abc: 4.290 4.290 4.290
angles: 60.00 60.00 60.00
Positions (direct):
1 Nb 0.250 0.250 0.250
2 Ti 0.500 0.500 0.500
3 Nb 0.750 0.750 0.750
4 N 0.000 0.000 0.000

***

# NbTlN2

A PBEsol-optimized structure of NbTlN2 (meta-GGA SCAN, the Alexandria database).

abc: 5.833 6.012 5.833
angles: 119.02 90.00 119.02
Positions (direct):
1 N 0.125 0.750 0.491
2 Tl 0.000 0.000 0.000
3 Nb 0.500 0.000 0.500
4 Nb 0.750 0.500 0.250
5 Tl 0.250 0.500 0.750
6 N 0.625 0.750 0.259
7 N 0.741 0.250 0.875
8 N 0.509 0.250 0.375

***

# UNbN2

A PBEsol-optimized structure of UNbN2 (meta-GGA SCAN, the Alexandria database).

abc: 3.205 5.607 10.947
angles: 90.00 90.00 90.00
Site moments in Bohr magnetons follow the coordinates.
Positions (direct):
1 U 0.250 0.577 0.144  1.27
2 Nb 0.250 0.924 0.900  -0.06
3 N 0.750 0.732 0.997  -0.04
4 N 0.250 0.162 0.745  -0.07
5 Nb 0.750 0.576 0.400  -0.06
6 N 0.750 0.838 0.255  -0.07
7 U 0.750 0.923 0.644  1.27
8 N 0.250 0.268 0.003  -0.04
9 N 0.750 0.232 0.503  -0.04
10 U 0.750 0.423 0.856  1.27
11 N 0.250 0.662 0.755  -0.07
12 N 0.750 0.338 0.245  -0.07
13 U 0.250 0.077 0.356  1.27
14 N 0.250 0.768 0.497  -0.04
15 Nb 0.250 0.424 0.600  -0.06
16 Nb 0.750 0.076 0.100  -0.06

***

# NbW3N

A PBEsol-optimized structure of NbW3N (meta-GGA SCAN, the Alexandria database).

abc: 4.711 4.711 4.711
angles: 90.00 90.00 90.00
Site moments in Bohr magnetons follow the coordinates.
Positions (direct):
1 W 0.000 0.000 0.500  -0.04
2 N 0.500 0.500 0.500  1.33
3 Nb 0.000 0.000 0.000  0.09
4 W 0.500 0.000 0.000  -0.04
5 W 0.000 0.500 0.000  -0.04

***

# YNb3N

A PBEsol-optimized structure of YNb3N (meta-GGA SCAN, the Alexandria database).

abc: 4.793 4.793 4.793
angles: 90.00 90.00 90.00
Positions (direct):
1 Nb 0.000 0.500 0.000
2 Nb 0.000 0.000 0.500
3 Y 0.000 0.000 0.000
4 N 0.500 0.500 0.500
5 Nb 0.500 0.000 0.000

***

# Nd3Se3N

A PBEsol-optimized structure of Nd3Se3N (meta-GGA SCAN, the Alexandria database).

abc: 4.088 12.655 13.288
angles: 90.00 90.00 90.00
Positions (direct):
1 Se 0.250 0.271 0.693
2 Nd 0.750 0.462 0.152
3 Se 0.250 0.589 0.609
4 N 0.750 0.455 0.798
5 Se 0.750 0.411 0.391
6 Nd 0.750 0.785 0.635
7 Nd 0.250 0.576 0.370
8 Nd 0.750 0.424 0.630
9 Nd 0.750 0.924 0.870
10 Se 0.750 0.729 0.307
11 N 0.250 0.045 0.298
12 Nd 0.750 0.285 0.865
13 Nd 0.250 0.038 0.652
14 Nd 0.250 0.076 0.130
15 Se 0.250 0.865 0.500
16 N 0.750 0.955 0.702
17 Nd 0.750 0.962 0.348
18 N 0.250 0.545 0.202
19 Nd 0.250 0.715 0.135
20 Se 0.250 0.089 0.891
21 Se 0.250 0.771 0.807
22 Se 0.750 0.635 0.000
23 Se 0.750 0.135 0.500
24 Nd 0.250 0.215 0.365
25 Se 0.250 0.365 0.000
26 Se 0.750 0.911 0.109
27 Nd 0.250 0.538 0.848
28 Se 0.750 0.229 0.193

***

# Nd3Si6N11

A PBEsol-optimized structure of Nd3Si6N11 (meta-GGA SCAN, the Alexandria database).

abc: 4.852 10.064 10.064
angles: 90.00 90.00 90.00
Positions (direct):
1 Si 0.532 0.579 0.291
2 Nd 0.003 0.818 0.318
3 N 0.177 0.423 0.728
4 Nd 0.986 0.000 0.000
5 N 0.646 0.820 0.920
6 Nd 0.003 0.182 0.682
7 N 0.074 0.000 0.500
8 Nd 0.003 0.318 0.182
9 N 0.646 0.180 0.080
10 N 0.695 0.153 0.347
11 Si 0.532 0.209 0.921
12 N 0.177 0.077 0.228
13 Si 0.532 0.421 0.709
14 N 0.177 0.923 0.772
15 Nd 0.003 0.682 0.818
16 N 0.074 0.500 0.000
17 Si 0.532 0.709 0.579
18 Si 0.042 0.618 0.118
19 N 0.177 0.228 0.923
20 N 0.646 0.920 0.180
21 Si 0.042 0.882 0.618
22 Si 0.042 0.118 0.382
23 N 0.177 0.272 0.423
24 N 0.646 0.420 0.320
25 Si 0.532 0.791 0.079
26 N 0.646 0.080 0.820
27 N 0.646 0.320 0.580
28 N 0.695 0.653 0.153
29 Si 0.042 0.382 0.882
30 N 0.177 0.728 0.577
31 Si 0.532 0.921 0.791
32 Si 0.532 0.079 0.209
33 N 0.695 0.347 0.847
34 N 0.177 0.577 0.272
35 N 0.177 0.772 0.077
36 Nd 0.986 0.500 0.500
37 N 0.646 0.580 0.680
38 Si 0.532 0.291 0.421
39 N 0.695 0.847 0.653
40 N 0.646 0.680 0.420

***

# Nd4Te3N2

A PBEsol-optimized structure of Nd4Te3N2 (meta-GGA SCAN, the Alexandria database).

abc: 7.310 11.248 11.591
angles: 90.00 90.00 90.00
Positions (direct):
1 N 0.448 0.966 0.122
2 N 0.552 0.034 0.878
3 N 0.552 0.034 0.622
4 Nd 0.228 0.030 0.250
5 Nd 0.147 0.390 0.051
6 Te 0.079 0.772 0.750
7 Nd 0.908 0.339 0.750
8 Nd 0.272 0.530 0.750
9 Te 0.066 0.134 0.578
10 Te 0.579 0.728 0.750
11 Nd 0.592 0.839 0.250
12 Nd 0.853 0.610 0.949
13 N 0.948 0.534 0.378
14 Te 0.066 0.134 0.922
15 N 0.052 0.466 0.622
16 Nd 0.853 0.610 0.551
17 Te 0.434 0.634 0.078
18 N 0.052 0.466 0.878
19 Te 0.566 0.366 0.578
20 Te 0.921 0.228 0.250
21 Nd 0.772 0.970 0.750
22 N 0.448 0.966 0.378
23 Nd 0.092 0.661 0.250
24 Nd 0.408 0.161 0.750
25 Nd 0.647 0.110 0.449
26 Te 0.934 0.866 0.078
27 Nd 0.728 0.470 0.250
28 Te 0.434 0.634 0.422
29 Nd 0.147 0.390 0.449
30 Te 0.934 0.866 0.422
31 Te 0.566 0.366 0.922
32 Nd 0.353 0.890 0.551
33 N 0.948 0.534 0.122
34 Te 0.421 0.272 0.250
35 Nd 0.647 0.110 0.051
36 Nd 0.353 0.890 0.949

***

# Ni3NO

A PBEsol-optimized structure of Ni3NO (meta-GGA SCAN, the Alexandria database).

abc: 3.660 3.660 3.660
angles: 90.00 90.00 90.00
Site moments in Bohr magnetons follow the coordinates.
Positions (direct):
1 Ni 0.000 0.000 0.500  0.25
2 Ni 0.000 0.500 0.000  0.25
3 N 0.500 0.500 0.500  0.30
4 Ni 0.500 0.000 0.000  0.25
5 O 0.000 0.000 0.000  0.00

***

| no. | DFT total energy (eV/atom) | uncorrected formation energy (eV/atom) | magnetization (μB/cell) |
| --- | --- | --- | --- |
| 1 | -26.6841 | 0.056 | 1.10 |
| 2 | -24.7788 | 0.466 | 0.75 |
| 3 | -19.8226 | 0.709 | 3.01 |
| 4 | -23.8910 | -0.191 | 0.00 |
| 5 | -23.0883 | 0.439 | 4.96 |
| 6 | -20.2525 | 0.245 | 1.00 |
| 7 | -21.5107 | -0.119 | 0.00 |
| 8 | -24.6997 | 1.583 | 0.00 |
| 9 | -19.7263 | 0.503 | 0.00 |
| 10 | -30.3043 | -0.730 | 0.00 |
| 11 | -41.0873 | 2.284 | 1.22 |
| 12 | -27.1547 | -0.597 | 0.00 |
| 13 | -18.4074 | -1.472 | 0.00 |
| 14 | -18.4252 | -1.490 | 0.00 |
| 15 | -21.9199 | 0.975 | 0.00 |
| 16 | -31.4889 | -0.471 | 0.00 |
| 17 | -40.1600 | -1.350 | 4.73 |
| 18 | -46.6314 | 3.666 | 1.67 |
| 19 | -24.0434 | 3.261 | 0.00 |
| 20 | -30.6885 | -2.078 | 0.00 |
| 21 | -16.2162 | -1.564 | 0.00 |
| 22 | -35.5918 | -1.740 | 0.00 |
| 23 | -12.1237 | 0.685 | 1.08 |